First-principles (PBE-GGA) data for an optimized crystal structure of Tb2Ho6Er, as listed in the Alexandria database.

Cell lengths 7.9343, 7.9343, 5.1847 Å; angles 90.00, 90.00, 117.21 degrees
Last column: nearest neighbours and their distance in Å.
Positions (direct):
Tb 0.2149 0.7851 0.0000  10 Ho 3.63-3.77, 2 Er 3.90
Tb 0.7851 0.2149 0.0000  10 Ho 3.63-3.77, 2 Er 3.90
Ho 0.1690 0.4459 0.5000  1 Er 3.16, 4 Ho 3.17-3.20
Ho 0.2865 0.2865 0.0000  5 Ho 3.20-3.53, 2 Er 3.51
Ho 0.4459 0.1690 0.5000  1 Er 3.16, 4 Ho 3.17-3.20
Ho 0.5541 0.8310 0.5000  1 Er 3.16, 4 Ho 3.17-3.20
Ho 0.7135 0.7135 0.0000  5 Ho 3.20-3.53, 2 Er 3.51
Ho 0.8310 0.5541 0.5000  1 Er 3.16, 4 Ho 3.17-3.20
Er 0.0000 0.0000 0.5000  8 Ho 3.16-3.51

Summary:
Total moment in μB/f.u.: 0.0
Final energy in eV for the cell shown: -38.76
Energy relative to the lowest polymorph listed for this composition in meV/atom: 261
ΔH_f (0 K) in eV/atom: 0.281
Calculated density in Mg/m³: 8.4

---

First-principles (PBE-GGA) data for an optimized crystal structure of Er2Zr2In3, as listed in the Alexandria database.

Cell lengths 11.5036, 11.5036, 3.2195 Å; angles 90.00, 90.00, 156.35 degrees
Last column: nearest neighbours and their distance in Å.
Positions (direct):
Er 0.0741 0.9259 0.0000  1 Zr 3.09, 3 Er 3.22-3.34, 8 In 3.31-3.40
Er 0.9259 0.0741 0.0000  1 Zr 3.09, 3 Er 3.22-3.34, 8 In 3.31-3.40
Zr 0.2115 0.7885 0.0000  4 Zr 2.93-3.22, 1 Er 3.09, 4 In 3.11
Zr 0.7885 0.2115 0.0000  4 Zr 2.93-3.22, 1 Er 3.09, 4 In 3.11
In 0.3438 0.6562 0.5000  6 Zr 3.11-3.39, 2 In 3.22, 4 Er 3.40
In 0.5000 0.5000 0.5000  4 In 3.22-3.52, 8 Er 3.31
In 0.6562 0.3438 0.5000  6 Zr 3.11-3.39, 2 In 3.22, 4 Er 3.40

Summary:
Total moment in μB/f.u.: 0.0
Final energy in eV for the cell shown: -35.99
ΔH_f (0 K) in eV/atom: -0.221
Calculated density in Mg/m³: 8.4

---

First-principles (PBE-GGA) data for an optimized crystal structure of RbPaSiS6, as listed in the Alexandria database.

Cell lengths 6.2928, 6.2928, 7.9447 Å; angles 90.01, 90.01, 120.07 degrees
Last column: nearest neighbours and their distance in Å.
Positions (direct):
Rb 0.0000 0.0000 0.0000  6 S 3.41
Pa 0.6666 0.3334 0.5000  6 S 2.64
Si 0.3334 0.6666 0.5000  6 S 2.31
S 0.0410 0.3759 0.3229  1 Si 2.31
S 0.0412 0.6653 0.6770  1 Si 2.31
S 0.3346 0.3757 0.6769  1 Si 2.31
S 0.3347 0.9588 0.3230  1 Si 2.31
S 0.6243 0.6654 0.3231  1 Si 2.31
S 0.6241 0.9590 0.6771  1 Si 2.31

Summary:
Total moment in μB/f.u.: 1.9
Final energy in eV for the cell shown: -47.21
Calculated density in Mg/m³: 3.3

---

First-principles (PBE-GGA) data for an optimized crystal structure of Ac4AsSe2Cl, as listed in the Alexandria database.

Cell lengths 7.6603, 4.4598, 7.7850 Å; angles 90.00, 109.40, 90.00 degrees
Last column: nearest neighbours and their distance in Å.
Positions (direct):
Ac 0.2403 0.0000 0.2461  3 Se 3.11-3.19, 1 As 3.12, 2 Cl 3.20
Ac 0.2416 0.5000 0.7474  3 Se 3.12-3.19, 2 As 3.12, 1 Cl 3.19
Ac 0.7584 0.5000 0.2526  3 Se 3.12-3.19, 2 As 3.12, 1 Cl 3.19
Ac 0.7597 0.0000 0.7539  3 Se 3.11-3.19, 1 As 3.12, 2 Cl 3.20
As 0.0000 0.0000 0.5000  6 Ac 3.12
Se 0.0000 0.5000 0.0000  6 Ac 3.11-3.12
Se 0.5000 0.0000 0.0000  6 Ac 3.19
Cl 0.5000 0.5000 0.5000  6 Ac 3.19-3.20

Summary:
Total moment in μB/f.u.: 0.0
Final energy in eV for the cell shown: -43.32
Calculated density in Mg/m³: 7.8

---

First-principles (PBE-GGA) data for an optimized crystal structure of LiRhN2F, as listed in the Alexandria database.

Cell lengths 3.7376, 3.7376, 3.3313 Å; angles 90.00, 90.00, 90.00 degrees
Last column: nearest neighbours and their distance in Å.
Positions (direct):
Li 0.0000 0.0000 0.0000  2 F 1.67
Rh 0.5000 0.5000 0.5000  8 N 2.50, 4 F 2.64
N 0.0000 0.5000 0.0000  2 Li 1.87
N 0.5000 0.0000 0.0000  2 Li 1.87
F 0.0000 0.0000 0.5000  2 Li 1.67

Summary:
Total moment in μB/f.u.: 0.3
Final energy in eV for the cell shown: -22.29
Energy relative to the lowest polymorph listed for this composition in meV/atom: 964
Calculated density in Mg/m³: 5.6

---

First-principles (PBE-GGA) data for an optimized crystal structure of AlFe2Mo, as listed in the Alexandria database.

Cell lengths 4.9128, 4.9128, 4.1698 Å; angles 114.97, 114.97, 34.69 degrees
Last column: nearest neighbours and their distance in Å.
Positions (direct):
Al 0.0000 0.0000 0.0000  6 Fe 2.55-2.56, 2 Mo 2.69
Fe 0.4876 0.4876 0.4874  2 Fe 2.48, 2 Mo 2.53, 4 Al 2.55
Fe 0.7495 0.7495 0.2489  2 Fe 2.48, 4 Mo 2.55, 2 Al 2.56
Mo 0.2324 0.2324 0.7316  6 Fe 2.53-2.55, 2 Al 2.69

Summary:
Total moment in μB/f.u.: 2.3
Final energy in eV for the cell shown: -31.83
ΔH_f (0 K) in eV/atom: -0.083
Calculated density in Mg/m³: 7.6

---

First-principles (PBE-GGA) data for an optimized crystal structure of NaTaZn, as listed in the Alexandria database.

Cell lengths 2.8760, 2.8760, 14.4930 Å; angles 90.00, 90.00, 90.00 degrees
Last column: nearest neighbours and their distance in Å.
Positions (direct):
Na 0.0000 0.0000 0.0000  4 Na 2.88
Na 0.5000 0.5000 0.2246  4 Na 2.88
Ta 0.0000 0.0000 0.4201  4 Zn 2.80, 4 Ta 2.88
Ta 0.0000 0.0000 0.6875  8 Zn 2.82-2.84, 4 Ta 2.88
Zn 0.5000 0.5000 0.5527  8 Ta 2.80-2.82, 4 Zn 2.88
Zn 0.5000 0.5000 0.8243  4 Ta 2.84, 4 Zn 2.88

Summary:
Total moment in μB/f.u.: 0.0
Final energy in eV for the cell shown: -27.26
Energy relative to the lowest polymorph listed for this composition in meV/atom: 135
ΔH_f (0 K) in eV/atom: 0.273
Calculated density in Mg/m³: 7.5

---

First-principles (PBE-GGA) data for an optimized crystal structure of Zr2MnFe, as listed in the Alexandria database.

Cell lengths 8.0774, 8.0774, 8.0774 Å; angles 22.62, 22.62, 22.62 degrees
Last column: nearest neighbours and their distance in Å.
Positions (direct):
Zr 0.2505 0.2505 0.2505  3 Mn 2.68, 3 Fe 2.69
Zr 0.7495 0.7495 0.7495  3 Mn 2.68, 3 Fe 2.69
Mn 0.0000 0.0000 0.0000  6 Zr 2.68
Fe 0.5000 0.5000 0.5000  6 Zr 2.69

Summary:
Total moment in μB/f.u.: 1.9
Final energy in eV for the cell shown: -33.64
Energy relative to the lowest polymorph listed for this composition in meV/atom: 381
ΔH_f (0 K) in eV/atom: 0.272
Calculated density in Mg/m³: 7.1

---

First-principles (PBE-GGA) data for an optimized crystal structure of MgPtBr, as listed in the Alexandria database.

Cell lengths 6.2419, 6.2406, 3.1802 Å; angles 75.26, 75.22, 29.52 degrees
Last column: nearest neighbours and their distance in Å.
Positions (direct):
Mg 0.0000 0.0000 0.0000  4 Pt 2.76, 4 Br 2.87
Pt 0.6374 0.6374 0.3626  4 Mg 2.76
Br 0.3472 0.3472 0.6528  4 Mg 2.87, 4 Br 3.18

Summary:
Total moment in μB/f.u.: 0.0
Final energy in eV for the cell shown: -10.33
Energy relative to the lowest polymorph listed for this composition in meV/atom: 60
Calculated density in Mg/m³: 8.4

---

First-principles (PBE-GGA) data for an optimized crystal structure of SiGeAsSe2, as listed in the Alexandria database.

Cell lengths 4.8473, 4.8473, 4.7882 Å; angles 90.00, 90.00, 90.00 degrees
Last column: nearest neighbours and their distance in Å.
Positions (direct):
Si 0.0000 0.0000 0.0000  2 As 2.39, 4 Se 2.42
Ge 0.5000 0.5000 0.5000  8 Se 3.41, 4 As 3.43
As 0.0000 0.0000 0.5000  2 Si 2.39
Se 0.0000 0.5000 0.0000  2 Si 2.42
Se 0.5000 0.0000 0.0000  2 Si 2.42

Summary:
Total moment in μB/f.u.: 0.0
Final energy in eV for the cell shown: -19.40
Energy relative to the lowest polymorph listed for this composition in meV/atom: 0
Calculated density in Mg/m³: 4.9

---

First-principles (PBE-GGA) data for an optimized crystal structure of VCr3Pt, as listed in the Alexandria database.

Cell lengths 4.1744, 4.1744, 4.1744 Å; angles 90.00, 90.00, 90.00 degrees
Last column: nearest neighbours and their distance in Å.
Positions (direct):
V 0.0000 0.0000 0.0000  6 Cr 2.09
Cr 0.0000 0.0000 0.5000  2 V 2.09
Cr 0.0000 0.5000 0.0000  2 V 2.09
Cr 0.5000 0.0000 0.0000  2 V 2.09
Pt 0.5000 0.5000 0.5000  12 Cr 2.95

Summary:
Total moment in μB/f.u.: 1.0
Final energy in eV for the cell shown: -38.44
Energy relative to the lowest polymorph listed for this composition in meV/atom: 0
ΔH_f (0 K) in eV/atom: 1.117
Calculated density in Mg/m³: 9.2

---

First-principles (PBE-GGA) data for an optimized crystal structure of MnGaPt, as listed in the Alexandria database.

Cell lengths 4.1286, 4.1286, 4.1286 Å; angles 60.00, 60.00, 60.00 degrees
Last column: nearest neighbours and their distance in Å.
Positions (direct):
Mn 0.0000 0.0000 0.0000  4 Ga 2.53
Ga 0.2500 0.2500 0.2500  4 Pt 2.53, 4 Mn 2.53
Pt 0.5000 0.5000 0.5000  4 Ga 2.53

Summary:
Total moment in μB/f.u.: 3.3
Final energy in eV for the cell shown: -18.78
ΔH_f (0 K) in eV/atom: -0.182
Calculated density in Mg/m³: 10.7

---

First-principles (PBE-GGA) data for an optimized crystal structure of NpTi2Pt, as listed in the Alexandria database.

Cell lengths 3.1143, 3.1143, 7.3063 Å; angles 90.00, 90.00, 90.00 degrees
Last column: nearest neighbours and their distance in Å.
Positions (direct):
Np 0.0000 0.0000 0.0000  8 Ti 2.99, 4 Np 3.11
Ti 0.5000 0.5000 0.2768  4 Pt 2.74, 4 Np 2.99
Ti 0.5000 0.5000 0.7232  4 Pt 2.74, 4 Np 2.99
Pt 0.0000 0.0000 0.5000  8 Ti 2.74

Summary:
Total moment in μB/f.u.: 3.7
Final energy in eV for the cell shown: -35.92
Energy relative to the lowest polymorph listed for this composition in meV/atom: 14
ΔH_f (0 K) in eV/atom: -0.288
Calculated density in Mg/m³: 12.4

---

First-principles (PBE-GGA) data for an optimized crystal structure of TlInBi4, as listed in the Alexandria database.

Cell lengths 6.6666, 6.6666, 6.6666 Å; angles 60.00, 60.00, 60.00 degrees
Last column: nearest neighbours and their distance in Å.
Positions (direct):
Tl 0.0000 0.0000 0.0000  12 Bi 3.91, 4 In 4.08
In 0.2500 0.2500 0.2500  12 Bi 3.91, 4 Tl 4.08
Bi 0.1257 0.6248 0.6248  6 Bi 3.33-3.34
Bi 0.6248 0.1257 0.6248  6 Bi 3.33-3.34
Bi 0.6248 0.6248 0.1257  6 Bi 3.33-3.34
Bi 0.6248 0.6248 0.6248  6 Bi 3.33-3.34

Summary:
Total moment in μB/f.u.: 0.0
Final energy in eV for the cell shown: -19.95
Energy relative to the lowest polymorph listed for this composition in meV/atom: 114
ΔH_f (0 K) in eV/atom: 0.113
Calculated density in Mg/m³: 9.2

---

First-principles (PBE-GGA) data for an optimized crystal structure of AlAsPt2, as listed in the Alexandria database.

Cell lengths 5.3008, 5.3008, 5.3008 Å; angles 148.04, 123.57, 66.33 degrees
Last column: nearest neighbours and their distance in Å.
Positions (direct):
Al 0.0000 0.0000 0.0000  4 Pt 2.55
As 0.5000 0.5000 0.0000  4 Pt 2.77, 4 Al 2.90, 2 As 2.92
Pt 0.2350 0.7350 0.5000  2 Al 2.55, 2 As 2.77
Pt 0.7650 0.2650 0.5000  2 Al 2.55, 2 As 2.77

Summary:
Total moment in μB/f.u.: 0.0
Final energy in eV for the cell shown: -21.64
Energy relative to the lowest polymorph listed for this composition in meV/atom: 257
ΔH_f (0 K) in eV/atom: -0.292
Calculated density in Mg/m³: 12.6

---

First-principles (PBE-GGA) data for an optimized crystal structure of TlSbRu2, as listed in the Alexandria database.

Cell lengths 5.9737, 5.9737, 5.9737 Å; angles 105.28, 105.28, 118.22 degrees
Last column: nearest neighbours and their distance in Å.
Positions (direct):
Tl 0.0000 0.0000 0.0000  4 Ru 2.83, 2 Sb 3.07
Tl 0.7500 0.2500 0.5000  4 Ru 2.83, 2 Sb 3.07
Sb 0.2500 0.7500 0.5000  4 Ru 2.53
Sb 0.5000 0.5000 0.0000  4 Ru 2.53
Ru 0.1552 0.6250 0.0302  2 Sb 2.53, 2 Tl 2.83
Ru 0.3750 0.4052 0.5302  2 Sb 2.53, 2 Tl 2.83
Ru 0.5948 0.1250 0.9698  2 Sb 2.53, 2 Tl 2.83
Ru 0.8750 0.8448 0.4698  2 Sb 2.53, 2 Tl 2.83

Summary:
Total moment in μB/f.u.: 0.0
Final energy in eV for the cell shown: -44.41
Calculated density in Mg/m³: 10.9

---

First-principles (PBE-GGA) data for an optimized crystal structure of K2TbPuTe4, as listed in the Alexandria database.

Cell lengths 7.8850, 4.5461, 8.6189 Å; angles 90.00, 107.77, 90.00 degrees
Last column: nearest neighbours and their distance in Å.
Positions (direct):
K 0.0000 0.0000 0.0000  6 Te 3.53-3.54
K 0.5000 0.5000 0.0000  6 Te 3.56-3.57
Tb 0.0000 0.5000 0.5000  6 Te 3.12-3.13
Pu 0.5000 0.0000 0.5000  6 Te 3.14-3.17
Te 0.2331 0.0000 0.7097  2 Tb 3.13, 1 Pu 3.17
Te 0.2614 0.5000 0.2912  1 Tb 3.12, 2 Pu 3.14
Te 0.7386 0.5000 0.7088  1 Tb 3.12, 2 Pu 3.14
Te 0.7669 0.0000 0.2903  2 Tb 3.13, 1 Pu 3.17

Summary:
Total moment in μB/f.u.: 5.0
Final energy in eV for the cell shown: -43.72
Calculated density in Mg/m³: 5.6

---

First-principles (PBE-GGA) data for an optimized crystal structure of KHoSn2I8, as listed in the Alexandria database.

Cell lengths 7.2961, 7.7654, 9.5864 Å; angles 89.99, 89.95, 88.80 degrees
Last column: nearest neighbours and their distance in Å.
Positions (direct):
K 0.0000 0.0000 0.0000  6 I 3.43-3.49
Ho 0.0000 0.0000 0.5000  6 I 3.03-3.07
Sn 0.5000 0.5003 0.2503  6 I 3.12-3.38
Sn 0.5000 0.4997 0.7497  6 I 3.12-3.38
I 0.2357 0.3236 0.5002  1 Ho 3.07, 2 Sn 3.38
I 0.2474 0.8443 0.7218  1 Ho 3.03, 1 Sn 3.23
I 0.2480 0.8450 0.2779  1 Ho 3.03, 1 Sn 3.23
I 0.2705 0.3661 0.0002  2 Sn 3.12
I 0.7295 0.6339 0.9998  2 Sn 3.12
I 0.7520 0.1550 0.7221  1 Ho 3.03, 1 Sn 3.23
I 0.7526 0.1557 0.2782  1 Ho 3.03, 1 Sn 3.23
I 0.7643 0.6764 0.4998  1 Ho 3.07, 2 Sn 3.38

Summary:
Total moment in μB/f.u.: 0.0
Final energy in eV for the cell shown: -37.10
Calculated density in Mg/m³: 4.5

---

First-principles (PBE-GGA) data for an optimized crystal structure of ErI4, as listed in the Alexandria database.

Cell lengths 5.9866, 5.9866, 5.9866 Å; angles 90.00, 90.00, 90.00 degrees
Last column: nearest neighbours and their distance in Å.
Positions (direct):
Er 0.0000 0.0000 0.0000  6 I 2.99
I 0.0000 0.0000 0.5000  2 Er 2.99
I 0.0000 0.5000 0.0000  2 Er 2.99
I 0.5000 0.0000 0.0000  2 Er 2.99
I 0.5000 0.5000 0.5000  12 I 4.23

Summary:
Total moment in μB/f.u.: 1.0
Final energy in eV for the cell shown: -14.59
Calculated density in Mg/m³: 5.2

---

First-principles (PBE-GGA) data for an optimized crystal structure of Ti12Ga3Cu, as listed in the Alexandria database.

Cell lengths 4.0117, 4.0117, 16.0268 Å; angles 90.00, 90.00, 90.00 degrees
Last column: nearest neighbours and their distance in Å.
Positions (direct):
Ti 0.0000 0.0000 0.0000  8 Ti 2.82, 4 Cu 2.84
Ti 0.0000 0.0000 0.2479  8 Ti 2.83-2.85, 4 Ga 2.84
Ti 0.0000 0.0000 0.5000  4 Ga 2.84, 8 Ti 2.84
Ti 0.0000 0.0000 0.7521  8 Ti 2.83-2.85, 4 Ga 2.84
Ti 0.0000 0.5000 0.1232  2 Cu 2.82, 8 Ti 2.82-2.84, 2 Ga 2.83
Ti 0.0000 0.5000 0.3746  8 Ti 2.84-2.85, 4 Ga 2.84-2.86
Ti 0.0000 0.5000 0.6254  8 Ti 2.84-2.85, 4 Ga 2.84-2.86
Ti 0.0000 0.5000 0.8768  2 Cu 2.82, 8 Ti 2.82-2.84, 2 Ga 2.83
Ti 0.5000 0.0000 0.1232  2 Cu 2.82, 8 Ti 2.82-2.84, 2 Ga 2.83
Ti 0.5000 0.0000 0.3746  8 Ti 2.84-2.85, 4 Ga 2.84-2.86
Ti 0.5000 0.0000 0.6254  8 Ti 2.84-2.85, 4 Ga 2.84-2.86
Ti 0.5000 0.0000 0.8768  2 Cu 2.82, 8 Ti 2.82-2.84, 2 Ga 2.83
Ga 0.5000 0.5000 0.2476  12 Ti 2.83-2.86
Ga 0.5000 0.5000 0.5000  12 Ti 2.84
Ga 0.5000 0.5000 0.7524  12 Ti 2.83-2.86
Cu 0.5000 0.5000 0.0000  12 Ti 2.82-2.84

Summary:
Total moment in μB/f.u.: 0.0
Final energy in eV for the cell shown: -111.73
ΔH_f (0 K) in eV/atom: -0.238
Calculated density in Mg/m³: 5.5